This record from Alexandria via LeMat-Bulk describes an optimized crystal structure of Ba2TcBiC. The functional is PBE.

The structure in extended XYZ format:
```
5
Lattice="5.9760 0.0000 0.0000 0.0000 5.9760 0.0000 0.0000 0.0000 5.1679" Properties=species:S:1:pos:R:3 pbc="T T T"
Ba 0.0000 2.9880 0.0000
Ba 2.9880 0.0000 0.0000
Tc 0.0000 0.0000 0.0000
Bi 0.0000 0.0000 2.5840
C 2.9880 2.9880 2.5840
```

Summary:
The calculation puts the density at 5341 kg/m3. The total magnetization is 2.326 μB per formula unit. The value obtained for the formation energy is 1.201 eV per atom.

This record from Alexandria via LeMat-Bulk describes an optimized crystal structure of MgTl. The functional is PBE.

The structure in extended XYZ format:
```
8
Lattice="5.4096 0.0000 0.0000 -2.7048 4.6849 0.0000 0.0000 0.0000 8.8227" Properties=species:S:1:pos:R:3 pbc="T T T"
Mg 0.0000 3.1233 0.7054
Mg 0.0000 3.1233 3.7059
Mg 2.7048 1.5616 5.1168
Mg 2.7048 1.5616 8.1173
Tl 0.0000 0.0000 2.2057
Tl 0.0000 0.0000 6.6171
Tl 0.0000 3.1233 6.6171
Tl 2.7048 1.5616 2.2057
```

Summary:
The calculation puts the density at 6793 kg/m3. The total magnetization is 0.000 μB per formula unit. The value obtained for the formation energy is 0.131 eV per atom.

This record from Alexandria via LeMat-Bulk describes an optimized crystal structure of ReHgCl5. The functional is PBE.

The structure in extended XYZ format:
```
14
Lattice="5.9836 0.0000 0.0000 1.9095 9.1038 0.0000 1.8314 -0.2503 9.1464" Properties=species:S:1:pos:R:3 pbc="T T T"
Re 0.0000 0.0000 0.0000
Re 2.9918 0.0000 0.0000
Hg 3.3662 5.3204 3.6976
Hg 6.3582 3.5331 5.4488
Cl 1.6440 4.2955 2.5492
Cl 1.4956 0.4402 1.8221
Cl 3.3273 1.0914 7.8442
Cl 5.2368 7.0455 8.6505
Cl 5.0897 6.4520 4.7383
Cl 4.6347 2.4015 4.4081
Cl 4.4877 1.8080 0.4959
Cl 6.3971 7.7621 1.3022
Cl 8.2288 8.4133 7.3243
Cl 8.0804 4.5580 6.5972
```

Summary:
The calculation puts the density at 3760 kg/m3. The total magnetization is 1.413 μB per formula unit. The value obtained for the energy relative to the elements, uncorrected is -3.31 eV/f.u.

This record from Alexandria via LeMat-Bulk describes an optimized crystal structure of PaMn2Ni. The functional is PBE.

The structure in extended XYZ format:
```
4
Lattice="2.1139 1.2205 4.0666 -2.1139 1.2205 4.0666 0.0000 -2.4409 4.0666" Properties=species:S:1:pos:R:3 pbc="T T T"
Pa 0.0000 0.0000 0.0000
Mn 0.0000 0.0000 2.2883
Mn 0.0000 0.0000 9.9116
Ni 0.0000 0.0000 6.1000
```

Summary:
The calculation puts the density at 10541 kg/m3. The total magnetization is 1.196 μB per formula unit. The value obtained for the formation energy is -0.057 eV per atom.